(P)
Ag2BiF6 after structural relaxation. Source: Alexandria via LeMat-Bulk, functional PBE.

Its density of states at the Fermi level is 2.35 states/eV per cell.

The space group is C2/m (No. 12) and the conventional cell measures 12.352, 4.180 and 7.396 Å, with angles of 90.00, 125.37 and 90.00 degrees. The distinct sites, in fractional coordinates, are Ag at (0.176, 0.000, 0.124), Bi at (0.000, 0.000, 0.500), F at (0.026, 0.000, 0.207), F at (0.118, 0.500, 0.545) and F at (0.211, 0.000, 0.837).


(Q)
Ag2BiF6 after structural relaxation. Source: Alexandria via LeMat-Bulk, functional PBE.

Its density of states at the Fermi level is 10.75 states/eV per cell.

The space group is P4_2/mnm (No. 136) and the conventional cell measures 5.309, 5.309 and 11.115 Å, with angles of 90.00, 90.00 and 90.00 degrees. The distinct sites, in fractional coordinates, are Ag at (0.000, 0.000, 0.167), Bi at (0.000, 0.000, 0.500), F at (0.197, 0.197, 0.344) and F at (0.202, 0.202, 0.000).


(Q) has the most favorable energy; the next structure is 20 meV/atom above.


(P)
AgBiF2 after structural relaxation. Source: Alexandria via LeMat-Bulk, functional PBE.

Its density of states at the Fermi level is 0.99 states/eV per cell.

The space group is I-42d (No. 122) and the conventional cell measures 8.470, 8.470 and 5.546 Å, with angles of 90.00, 90.00 and 90.00 degrees. The distinct sites, in fractional coordinates, are Ag at (0.000, 0.000, 0.000), Bi at (0.000, 0.000, 0.500) and F at (0.088, 0.250, 0.625).


(Q)
AgBiF2 after structural relaxation. Source: Alexandria via LeMat-Bulk, functional PBE.

Its density of states at the Fermi level is 0.14 states/eV per cell.

The space group is Fm-3m (No. 225) and the conventional cell measures 6.395, 6.395 and 6.395 Å, with angles of 90.00, 90.00 and 90.00 degrees. The distinct sites, in fractional coordinates, are Ag at (0.000, 0.000, 0.000), Bi at (0.000, 0.000, 0.500) and F at (0.250, 0.250, 0.250).


(R)
AgBiF2 after structural relaxation. Source: Alexandria via LeMat-Bulk, functional PBE.

Its density of states at the Fermi level is 4.57 states/eV per cell.

The space group is R-3m (No. 166, hexagonal axes) and the conventional cell measures 3.4906, 3.4906 and 22.8683 Å, with angles of 90.00, 90.00 and 120.00 degrees. The distinct sites, in fractional coordinates, are Ag at (0.0000, 0.0000, 0.0000), Bi at (0.0000, 0.0000, 0.5000) and F at (0.0000, 0.0000, 0.3995).


(R) has the most favorable energy; the next structure is 15 meV/atom above.


(P)
AgBi3F after structural relaxation. Source: Alexandria via LeMat-Bulk, functional PBE.

Its density of states at the Fermi level is 4.89 states/eV per cell.

The space group is Pm-3m (No. 221) and the conventional cell measures 5.504, 5.504 and 5.504 Å, with angles of 90.00, 90.00 and 90.00 degrees. The distinct sites, in fractional coordinates, are Ag at (0.000, 0.000, 0.000), Bi at (0.000, 0.000, 0.500) and F at (0.500, 0.500, 0.500).


(Q)
AgBi3F after structural relaxation. Source: Alexandria via LeMat-Bulk, functional PBE.

Its density of states at the Fermi level is 3.79 states/eV per cell.

The space group is Pm-3m (No. 221) and the conventional cell measures 5.084, 5.084 and 5.084 Å, with angles of 90.00, 90.00 and 90.00 degrees. The distinct sites, in fractional coordinates, are Ag at (0.000, 0.000, 0.000), Bi at (0.000, 0.500, 0.500) and F at (0.500, 0.500, 0.500).


(Q) has the most favorable energy; the next structure is 389 meV/atom above.


(P)
AgBiF3 after structural relaxation. Source: Alexandria via LeMat-Bulk, functional PBE.

Its density of states at the Fermi level is 6.66 states/eV per cell.

The space group is Pm-3m (No. 221) and the conventional cell measures 4.439, 4.439 and 4.439 Å, with angles of 90.00, 90.00 and 90.00 degrees. The distinct sites, in fractional coordinates, are Ag at (0.000, 0.000, 0.000), Bi at (0.500, 0.500, 0.500) and F at (0.000, 0.000, 0.500).


(Q)
AgBiF3 after structural relaxation. Source: Alexandria via LeMat-Bulk, functional PBE.

Its density of states at the Fermi level is 2.38 states/eV per cell.

The space group is Pm-3m (No. 221) and the conventional cell measures 4.623, 4.623 and 4.623 Å, with angles of 90.00, 90.00 and 90.00 degrees. The distinct sites, in fractional coordinates, are Ag at (0.000, 0.000, 0.000), Bi at (0.500, 0.500, 0.500) and F at (0.000, 0.500, 0.500).


(Q) has the most favorable energy; the next structure is 507 meV/atom above.


(P)
Ag2Bi2F after structural relaxation. Source: Alexandria via LeMat-Bulk, functional PBE.

Its density of states at the Fermi level is 5.61 states/eV per cell.

The space group is I4/mmm (No. 139) and the conventional cell measures 5.817, 5.817 and 7.141 Å, with angles of 90.00, 90.00 and 90.00 degrees. The distinct sites, in fractional coordinates, are Ag at (0.000, 0.000, 0.185), Bi at (0.000, 0.500, 0.250) and F at (0.000, 0.000, 0.500).


(Q)
Ag2Bi2F after structural relaxation. Source: Alexandria via LeMat-Bulk, functional PBE.

Its density of states at the Fermi level is 3.54 states/eV per cell.

The space group is P4/mbm (No. 127) and the conventional cell measures 6.647, 6.647 and 5.040 Å, with angles of 90.00, 90.00 and 90.00 degrees. The distinct sites, in fractional coordinates, are Ag at (0.147, 0.353, 0.000), Bi at (0.180, 0.680, 0.500) and F at (0.000, 0.000, 0.000).


(Q) has the most favorable energy; the next structure is 61 meV/atom above.


(P)
AgBiOF2 after structural relaxation. Source: Alexandria via LeMat-Bulk, functional PBE.

Its density of states at the Fermi level is 2.30 states/eV per cell.

The space group is P4/mmm (No. 123) and the conventional cell measures 4.381, 4.381 and 4.181 Å, with angles of 90.00, 90.00 and 90.00 degrees. The distinct sites, in fractional coordinates, are Ag at (0.000, 0.000, 0.000), Bi at (0.500, 0.500, 0.500), O at (0.000, 0.000, 0.500) and F at (0.000, 0.500, 0.000).


(Q)
AgBiOF2 after structural relaxation. Source: Alexandria via LeMat-Bulk, functional PBE.

Its density of states at the Fermi level is 0.58 states/eV per cell.

The space group is P4/mmm (No. 123) and the conventional cell measures 4.583, 4.583 and 4.497 Å, with angles of 90.00, 90.00 and 90.00 degrees. The distinct sites, in fractional coordinates, are Ag at (0.000, 0.000, 0.000), Bi at (0.500, 0.500, 0.500), O at (0.500, 0.500, 0.000) and F at (0.000, 0.500, 0.500).


(Q) has the most favorable energy; the next structure is 534 meV/atom above.